10
Lattice="2.8210 1.6287 4.4769 -2.8210 1.6287 4.4769 0.0000 -3.2574 4.4769" Properties=species:S:1:pos:R:3 comment="La2ZnCrO6, optimized geometry, DFT GGA+U" spacegroup="No. 148" vol_a3_per_atom=12.341 e_tot_ev_per_fu=-73.55 pbc="T T T"
La 0.0000 0.0000 3.3335
La 0.0000 0.0000 10.0974
Zn 0.0000 0.0000 6.7154
Cr 0.0000 0.0000 0.0000
O -0.4288 -1.7201 5.5854
O -1.7040 -0.4887 7.8454
O -1.2752 1.2314 5.5854
O 1.2752 -1.2314 7.8454
O 1.7040 0.4887 5.5854
O 0.4288 1.7201 7.8454